Entry 1:
DFT (PBE-GGA) results for crystalline As3Br4 at its relaxed geometry.

Cell: 15.389 15.389 15.389 Å, 165.84 165.84 20.08°
Last column: magnetic moment on the atom in μB.
Atoms (fractional coordinates):
As1 0.000 0.000 0.000  0.34
As2 0.248 0.248 0.000  0.00
As3 0.752 0.752 0.000  0.00
Br1 0.170 0.170 0.000  0.00
Br2 0.830 0.830 0.000  0.00
Br3 0.447 0.447 0.000  0.02
Br4 0.553 0.553 0.000  0.02

- Electronic total energy: -0.2111 Ry per atom
- M_tot: 0.71 Bohr magnetons per cell
- E_form (uncorrected): 0.08 eV per atom

=====

Entry 2:
DFT (PBE-GGA) results for crystalline AsBr at its relaxed geometry.

Cell: 9.275 9.275 9.275 Å, 23.59 23.59 23.59°
Atoms (fractional coordinates):
As1 0.017 0.017 0.017
As2 0.733 0.733 0.733
Br1 0.474 0.474 0.474
Br2 0.276 0.276 0.276

- Energy above the most stable polymorph in this dataset: 271 meV/atom
- Electronic total energy: -0.2297 Ry per atom
- M_tot: 0.00 Bohr magnetons per cell
- E_form (uncorrected): 0.04 eV per atom

=====

Entry 3:
DFT (PBE-GGA) results for crystalline As2Br at its relaxed geometry.

Cell: 7.247 7.247 7.247 Å, 90.00 90.00 90.00°
Atoms (fractional coordinates):
As1 0.590 0.590 0.410
As2 0.410 0.410 0.590
As3 0.090 0.910 0.590
As4 0.910 0.090 0.410
As5 0.410 0.090 0.090
As6 0.590 0.910 0.910
As7 0.910 0.410 0.910
As8 0.090 0.590 0.090
Br1 0.000 0.000 0.000
Br2 0.500 0.500 0.000
Br3 0.500 0.000 0.500
Br4 0.000 0.500 0.500

- Energy above the most stable polymorph in this dataset: 635 meV/atom
- Electronic total energy: -0.2331 Ry per atom
- M_tot: 0.00 Bohr magnetons per cell
- E_form (uncorrected): 0.49 eV per atom

=====

Entry 4:
DFT (PBE-GGA) results for crystalline AsBr3 at its relaxed geometry.

Cell: 5.131 5.131 5.131 Å, 60.00 60.00 60.00°
Atoms (fractional coordinates):
As1 0.000 0.000 0.000
Br1 0.250 0.250 0.250
Br2 0.750 0.750 0.750
Br3 0.500 0.500 0.500

- Electronic total energy: -0.1429 Ry per atom
- M_tot: 0.00 Bohr magnetons per cell
- E_form (uncorrected): 0.47 eV per atom